First-principles (GGA-PBE) data for an optimized crystal structure of HoPa2Co, as listed in Alexandria.

Calculated values
- crystal system = trigonal
- E_form (meV/atom) = 10
- energy above the lowest structure with this stoichiometry (meV/atom) = 13

Cell: 3.4974 3.4974 27.0058 Å, 90.00 90.00 120.00°
Space group R3m (No. 160, hexagonal axes)
Symmetry-distinct sites (fractional):
Ho  0.0000  0.0000  0.0000 x3
Pa  0.0000  0.0000  0.2274 x3
Pa  0.0000  0.0000  0.4341 x3
Co  0.0000  0.0000  0.8270 x3

First-principles (GGA-PBE) data for an optimized crystal structure of HoPa3Co2, as listed in Alexandria.

Calculated values
- crystal system = monoclinic
- E_form (meV/atom) = -141

Cell: 15.686 3.967 9.236 Å, 90.00 117.83 90.00°
Space group C2/m (No. 12)
Symmetry-distinct sites (fractional):
Ho  0.122  0.000  0.133 x4
Pa  0.012  0.000  0.355 x4
Pa  0.161  0.500  0.502 x4
Pa  0.178  0.500  0.900 x4
Co  0.014  0.500  0.860 x4
Co  0.185  0.000  0.709 x4

First-principles (GGA-PBE) data for an optimized crystal structure of HoPa2Co, as listed in Alexandria.

Calculated values
- crystal system = trigonal
- E_form (meV/atom) = -4
- energy above the lowest structure with this stoichiometry (meV/atom) = 0

Cell: 3.5237 3.5237 26.7779 Å, 90.00 90.00 120.00°
Space group R-3m (No. 166, hexagonal axes)
Symmetry-distinct sites (fractional):
Ho  0.0000  0.0000  0.0000 x3
Pa  0.0000  0.0000  0.2294 x6
Co  0.0000  0.0000  0.5000 x3

Q: Which value of E_form does entry 1 give?
A: 10 meV/atom

Q: Which formula does entry 3 have?
A: HoPa2Co